(1)
6
Lattice="1.731 -8.531 0.000 1.731 8.531 0.000 0.000 0.000 4.949" Properties=species:S:1:pos:R:3 comment="PBE-GGA CoCl2, optimized geometry" vol_a3_per_atom=24.358 crystal_system=orthorhombic raw_formation_energy_mev_per_atom=-461 dos_ef_per_ev_cell=9.53 total_magnetization_mub_per_fu=3.0 pbc="T T T"
Co 1.731 5.450 3.712
Co 1.731 -5.450 1.237
Cl 1.731 4.933 1.237
Cl 1.731 1.591 1.237
Cl 1.731 -1.591 3.712
Cl 1.731 -4.933 3.712

---

(2)
6
Lattice="2.917 0.000 0.000 0.000 2.917 0.000 0.000 0.000 8.812" Properties=species:S:1:pos:R:3 comment="PBE-GGA Co5Cl, optimized geometry" vol_a3_per_atom=12.496 crystal_system=tetragonal polymorph_energy_mev_per_atom=0 raw_formation_energy_mev_per_atom=269 dos_ef_per_ev_cell=6.36 total_magnetization_mub_per_fu=9.1 pbc="T T T"
Co 0.000 0.000 0.000
Co 0.000 0.000 2.605
Co 0.000 0.000 6.207
Co 1.458 1.458 1.280
Co 1.458 1.458 7.532
Cl 1.458 1.458 4.406

---

| no. | total energy (eV/cell) |
| --- | --- |
| 1 | -24.36 |
| 2 | -35.76 |